# 1
Computed, not measured: ScTe after structural relaxation at the PBE level of DFT.

Values from the calculation:
- uncorrected formation energy (eV/atom) = -0.752
- final energy (eV/atom) = -5.489

a b c (Å): 7.078 7.078 7.078
angles (deg): 146.58 146.58 47.99
Element x y z (fractional)
Sc1 0.250 0.750 0.500
Sc2 0.000 0.000 0.000
Te1 0.750 0.250 0.500
Te2 0.500 0.500 0.000

---

# 2
Computed, not measured: Sc5Te3 after structural relaxation at the PBE level of DFT.

Values from the calculation:
- uncorrected formation energy (eV/atom) = -0.715
- final energy (eV/atom) = -5.851
- relative energy among the computed polymorphs (eV/atom) = 0.115

a b c (Å): 6.581 6.581 4.438
angles (deg): 90.00 90.00 103.07
Element x y z (fractional)
Sc1 0.000 0.000 0.000
Sc2 0.500 0.000 0.000
Sc3 0.000 0.500 0.000
Sc4 0.274 0.274 0.500
Sc5 0.726 0.726 0.500
Te1 0.804 0.196 0.500
Te2 0.500 0.500 0.000
Te3 0.196 0.804 0.500

---

# 3
Computed, not measured: ScTe after structural relaxation at the PBE level of DFT.

Values from the calculation:
- uncorrected formation energy (eV/atom) = -0.860
- final energy (eV/atom) = -5.596

a b c (Å): 11.118 11.118 4.261
angles (deg): 90.00 90.00 90.00
Element x y z (fractional)
Te1 0.606 0.721 0.000
Te2 0.779 0.106 0.500
Te3 0.279 0.606 0.000
Te4 0.894 0.779 0.500
Te5 0.721 0.394 0.000
Te6 0.106 0.221 0.500
Te7 0.221 0.894 0.500
Te8 0.394 0.279 0.000
Sc1 0.149 0.388 0.000
Sc2 0.888 0.351 0.500
Sc3 0.351 0.112 0.500
Sc4 0.388 0.851 0.000
Sc5 0.612 0.149 0.000
Sc6 0.112 0.649 0.500
Sc7 0.851 0.612 0.000
Sc8 0.649 0.888 0.500

---

Question: Which of these has the lowest uncorrected formation energy?
Answer: number 3